[1]
Here is an optimized crystal structure of Sm2Ho6Mg from the Alexandria database. Energies are from PBE.

Cell: 3.541 3.541 25.962 Å, 90.00 90.00 120.00°
Element x y z (fractional)
Sm  0.667  0.333  0.326
Sm  0.667  0.333  0.674
Ho  0.667  0.333  0.895
Ho  0.333  0.667  0.435
Ho  0.333  0.667  0.788
Ho  0.333  0.667  0.212
Ho  0.333  0.667  0.565
Ho  0.667  0.333  0.105
Mg  0.333  0.667  0.000

Summary:
ΔE_f ... 73 meV/atom
Spin magnetization ... 0.00 μB per cell
SG ... P-6m2

---

[2]
Here is an optimized crystal structure of SmHo6Mg from the Alexandria database. Energies are from PBE.

Cell: 8.521 9.318 6.314 Å, 42.39 47.54 56.78°
Element x y z (fractional)
Sm  0.500  0.500  0.500
Ho  0.955  0.534  0.753
Ho  0.758  0.955  0.821
Ho  0.534  0.242  0.269
Ho  0.242  0.045  0.179
Ho  0.045  0.466  0.247
Ho  0.466  0.758  0.731
Mg  0.000  0.000  0.000

Summary:
ΔE_f ... 135 meV/atom
Spin magnetization ... 0.00 μB per cell
SG ... R-3

---

[3]
Here is an optimized crystal structure of SmHo8Mg6 from the Alexandria database. Energies are from PBE.

Cell: 9.091 9.091 8.294 Å, 56.76 56.76 60.00°
Element x y z (fractional)
Sm  0.000  0.000  0.000
Ho  0.549  0.217  0.351
Ho  0.783  0.117  0.649
Ho  0.117  0.451  0.649
Ho  0.666  0.666  0.001
Ho  0.334  0.334  0.999
Ho  0.883  0.549  0.351
Ho  0.217  0.883  0.351
Ho  0.451  0.783  0.649
Mg  0.384  0.048  0.855
Mg  0.952  0.287  0.145
Mg  0.287  0.616  0.145
Mg  0.713  0.384  0.855
Mg  0.048  0.713  0.855
Mg  0.616  0.952  0.145

Summary:
ΔE_f ... 201 meV/atom
Spin magnetization ... 0.00 μB per cell
SG ... R-3

---

[4]
Here is an optimized crystal structure of SmHoMgSn from the Alexandria database. Energies are from PBE.

Cell: 5.333 5.333 5.333 Å, 60.00 60.00 60.00°
Element x y z (fractional)
Mg  0.750  0.750  0.750
Ho  0.500  0.500  0.500
Sm  0.000  0.000  0.000
Sn  0.250  0.250  0.250

Summary:
ΔE_f ... -405 meV/atom
Spin magnetization ... 0.00 μB per cell
SG ... F-43m